Crystalline CuNi2As at its relaxed geometry. Source: Alexandria via LeMat-Bulk, functional PBE.

CIF file:
```
data_CuNi2As
_cell_length_a 6.546
_cell_length_b 6.546
_cell_length_c 4.976
_cell_angle_alpha 90.00
_cell_angle_beta 90.00
_cell_angle_gamma 90.00
_symmetry_space_group_name_H-M 'I -4 2 d'
_symmetry_Int_Tables_number 122
_symmetry_space_group_name_Hall 'I -4 2bw'
loop_
_atom_site_label
_atom_site_fract_x
_atom_site_fract_y
_atom_site_fract_z
Cu1 0.000 0.000 0.000
Ni1 0.227 0.250 0.625
As1 0.000 0.000 0.500
```

Output
- total energy (eV per formula unit) = -19.84
- calculated density (g cm⁻³) = 8.0